# 1
The following is a DFT calculation (GGA-PBE) of Ce4In5Rh2 after structural relaxation.

Cell lengths 7.864, 3.659, 9.736 Å; angles 90.00, 94.20, 90.00 degrees
Atoms (fractional coordinates):
Ce (0.178, 0.000, 0.352)
Ce (0.219, 0.000, 0.942)
Ce (0.781, 0.000, 0.058)
Ce (0.822, 0.000, 0.648)
In (0.177, 0.500, 0.651)
In (0.459, 0.500, 0.175)
In (0.500, 0.500, 0.500)
In (0.541, 0.500, 0.825)
In (0.823, 0.500, 0.349)
Rh (0.082, 0.500, 0.144)
Rh (0.918, 0.500, 0.856)

Calculated values
- space-group type = P2/m, No. 10
- E (Ry/atom) = -0.3875
- DOS at the Fermi energy (states/eV per cell) = 19.64
- formation energy (meV/atom) = -533.6

# 2
The following is a DFT calculation (GGA-PBE) of Sm3Dy2In2 after structural relaxation.

Cell lengths 8.622, 8.622, 8.012 Å; angles 117.16, 117.16, 23.47 degrees
Atoms (fractional coordinates):
Sm (0.000, 0.000, 0.000)
Sm (0.210, 0.210, 0.130)
Sm (0.790, 0.790, 0.870)
Dy (0.131, 0.131, 0.471)
Dy (0.869, 0.869, 0.529)
In (0.433, 0.433, 0.266)
In (0.567, 0.567, 0.734)

Calculated values
- space-group type = C2/m, No. 12
- E (Ry/atom) = -0.3120
- DOS at the Fermi energy (states/eV per cell) = 8.49
- formation energy (meV/atom) = -125.0
- energy above the lowest structure with this stoichiometry (meV per atom) = 37

# 3
The following is a DFT calculation (GGA-PBE) of Mg4Cu after structural relaxation.

Cell lengths 6.378, 6.378, 5.167 Å; angles 90.00, 90.00, 90.00 degrees
Atoms (fractional coordinates):
Mg (0.162, 0.330, 0.000)
Mg (0.162, 0.670, 0.500)
Mg (0.330, 0.162, 0.500)
Mg (0.330, 0.838, 0.000)
Mg (0.670, 0.162, 0.000)
Mg (0.670, 0.838, 0.500)
Mg (0.838, 0.330, 0.500)
Mg (0.838, 0.670, 0.000)
Cu (0.500, 0.500, 0.250)
Cu (0.500, 0.500, 0.750)

Calculated values
- space-group type = P4/mcc, No. 124
- E (Ry/atom) = -0.1542
- DOS at the Fermi energy (states/eV per cell) = 4.17
- formation energy (meV/atom) = -2.9

# 4
The following is a DFT calculation (GGA-PBE) of Ca2LaCeBi4 after structural relaxation.

Cell lengths 7.812, 4.714, 8.151 Å; angles 90.00, 110.50, 90.00 degrees
Atoms (fractional coordinates):
Ca (0.000, 0.000, 0.000)
Ca (0.000, 0.500, 0.500)
La (0.500, 0.000, 0.500)
Ce (0.500, 0.500, 0.000)
Bi (0.253, 0.500, 0.244)
Bi (0.259, 0.000, 0.760)
Bi (0.741, 0.000, 0.240)
Bi (0.747, 0.500, 0.756)

Calculated values
- space-group type = P2/m, No. 10
- E (Ry/atom) = -0.3375
- DOS at the Fermi energy (states/eV per cell) = 7.24
- formation energy (meV/atom) = -793.0

# 5
The following is a DFT calculation (GGA-PBE) of Mo4Ir2Rh3 after structural relaxation.

Cell lengths 4.785, 4.785, 8.284 Å; angles 106.81, 106.81, 48.15 degrees
Atoms (fractional coordinates):
Mo (0.005, 0.005, 0.333)
Mo (0.332, 0.332, 0.108)
Mo (0.668, 0.668, 0.892)
Mo (0.995, 0.995, 0.667)
Ir (0.333, 0.333, 0.780)
Ir (0.667, 0.667, 0.220)
Rh (0.000, 0.000, 0.000)
Rh (0.333, 0.333, 0.442)
Rh (0.667, 0.667, 0.558)

Calculated values
- space-group type = C2/m, No. 12
- E (Ry/atom) = -0.6936
- DOS at the Fermi energy (states/eV per cell) = 6.59
- formation energy (meV/atom) = -203.0

# 6
The following is a DFT calculation (GGA-PBE) of SrTaBe2 after structural relaxation.

Cell lengths 4.659, 4.659, 4.659 Å; angles 60.00, 60.00, 60.00 degrees
Atoms (fractional coordinates):
Sr (0.000, 0.000, 0.000)
Ta (0.500, 0.500, 0.500)
Be (0.250, 0.250, 0.250)
Be (0.750, 0.750, 0.750)

Calculated values
- space-group type = Fm-3m, No. 225
- E (Ry/atom) = -0.3199
- DOS at the Fermi energy (states/eV per cell) = 4.42
- formation energy (meV/atom) = 894.1
- energy above the lowest structure with this stoichiometry (meV per atom) = 530